Record 1
Entry from Alexandria: a relaxed structure of Ga8Co2Pd (PBE-GGA).

Results
Crystal system = monoclinic

abc: 11.3684 6.8475 4.7359
angles: 90.00 100.82 90.00
Last column: nearest neighbours and their distance in Å.
Space group C2/m (No. 12)
Unique sites:
1 Ga 0.0784 0.0000 0.3310 (multiplicity 4)  1 Co 2.38, 1 Ga 2.61
2 Ga 0.1066 0.2431 0.8832 (multiplicity 8)  2 Co 2.36-2.53
3 Ga 0.2017 0.5000 0.3421 (multiplicity 4)  2 Co 2.41, 1 Pd 2.54, 1 Ga 2.68
4 Co 0.2428 0.5000 0.8611 (multiplicity 4)  7 Ga 2.36-2.53
5 Pd 0.0000 0.5000 0.5000 (multiplicity 2)  6 Ga 2.54-2.65

=====

Record 2
Entry from Alexandria: a relaxed structure of Ga2Co2Pd (PBE-GGA).

Results
Crystal system = tetragonal
ΔE to the lowest computed polymorph = 2 meV per atom

abc: 6.9331 6.9331 2.7364
angles: 90.00 90.00 90.00
Last column: nearest neighbours and their distance in Å.
Space group P4/mbm (No. 127)
Unique sites:
1 Ga 0.1764 0.3236 0.0000 (multiplicity 4)  6 Co 2.42-2.50
2 Co 0.1205 0.6205 0.5000 (multiplicity 4)  1 Co 2.36, 6 Ga 2.42-2.50
3 Pd 0.0000 0.0000 0.5000 (multiplicity 2)  2 Pd 2.74, 4 Co 2.76, 8 Ga 2.90

=====

Record 3
Entry from Alexandria: a relaxed structure of GaCoPd2 (PBE-GGA).

Results
Crystal system = tetragonal

abc: 3.7720 3.7720 17.5082
angles: 90.00 90.00 90.00
Last column: nearest neighbours and their distance in Å.
Space group I-42d (No. 122)
Unique sites:
1 Ga 0.0000 0.0000 0.0000 (multiplicity 4)  4 Pd 2.57, 4 Co 2.67
2 Co 0.0000 0.0000 0.5000 (multiplicity 4)  4 Pd 2.56, 4 Ga 2.67
3 Pd 0.2481 0.2500 0.6250 (multiplicity 8)  2 Co 2.56, 2 Ga 2.57, 4 Pd 2.66-2.68

=====

Record 4
Entry from Alexandria: a relaxed structure of GaCoPd2 (PBE-GGA).

Results
Crystal system = tetragonal

abc: 3.9242 3.9242 3.6676
angles: 90.00 90.00 90.00
Last column: nearest neighbours and their distance in Å.
Space group P4/mmm (No. 123)
Unique sites:
1 Ga 0.0000 0.0000 0.0000 (multiplicity 1)  8 Pd 2.69, 4 Co 2.77
2 Co 0.5000 0.5000 0.0000 (multiplicity 1)  8 Pd 2.69, 4 Ga 2.77
3 Pd 0.0000 0.5000 0.5000 (multiplicity 2)  4 Co 2.69, 4 Ga 2.69, 4 Pd 2.77

=====

Number 1: ΔH_f (0 K) -0.1546 eV/atom. Number 2: ΔH_f (0 K) -0.1986 eV/atom. Number 3: ΔH_f (0 K) 0.0797 eV/atom. Number 4: ΔH_f (0 K) -0.2550 eV/atom.